8
Lattice="-0.770 -4.982 -2.209 4.693 0.528 -2.827 3.922 -3.840 0.436" Properties=species:S:1:pos:R:3 comment="BiHRu2 | Alexandria via LeMat-Bulk | PBE-GGA | relaxed" m_tot_mub_per_cell=0.0 dft_energy_ev_per_cell=-48.3 sg="I-42d (122)" crystal_system=tetragonal pbc="T T T"
Ru 1.209 -3.210 -1.271
Ru 3.694 -2.050 -2.288
Ru 5.622 -6.861 -3.627
Ru 5.164 -4.465 -2.014
H 1.961 -2.227 -2.518
H 5.288 -2.769 -2.454
Bi 2.557 -5.524 -2.145
Bi 0.000 0.000 0.000

12
Lattice="4.589 1.059 0.000 2.782 3.800 0.000 0.000 0.000 8.443" Properties=species:S:1:pos:R:3 comment="BiH4Ru | Alexandria via LeMat-Bulk | PBE-GGA | relaxed" m_tot_mub_per_cell=0.0 dft_energy_ev_per_cell=-50.7 sg="Cmcm (63)" crystal_system=orthorhombic pbc="T T T"
H 5.631 4.040 6.332
H 5.583 4.009 3.274
H 1.439 1.276 2.111
H 3.878 2.884 6.332
H 5.583 4.009 0.948
H 3.192 2.432 2.111
H 1.487 1.308 5.170
H 1.487 1.308 7.495
Ru 2.504 1.979 6.332
Ru 4.565 3.338 2.111
Bi 4.438 1.288 4.222
Bi 4.438 1.288 0.000

5
Lattice="4.058 0.000 0.000 0.000 4.058 0.000 0.000 0.000 4.058" Properties=species:S:1:pos:R:3 comment="BiH3Ru | Alexandria via LeMat-Bulk | PBE-GGA | relaxed" m_tot_mub_per_cell=2.0 dft_energy_ev_per_cell=-16.4 sg="Pm-3m (221)" crystal_system=cubic pbc="T T T"
Ru 2.029 2.029 2.029
H 2.029 0.000 0.000
H 0.000 0.000 2.029
H 0.000 2.029 0.000
Bi 0.000 0.000 0.000

5
Lattice="-0.374 -2.978 1.271 2.025 -1.214 -2.248 5.255 -1.164 2.999" Properties=species:S:1:pos:R:3 comment="BiH2Ru2 | Alexandria via LeMat-Bulk | PBE-GGA | relaxed" m_tot_mub_per_cell=1.7 dft_energy_ev_per_cell=-27.4 sg="I4/mmm (139)" crystal_system=tetragonal pbc="T T T"
H 2.853 -3.119 1.891
H 4.053 -2.237 0.132
Ru 4.584 -3.575 1.333
Ru 2.322 -1.781 0.690
Bi 0.000 0.000 0.000